1.
## Nd2Fe4Co13 (PBE-GGA)

Data for crystalline Nd2Fe4Co13 at its relaxed geometry.

The structure belongs to space group R3m (No. 160, hexagonal axes); the cell edges are 8.4069, 8.4069 and 12.2899 Å and the angles 90.00°, 90.00° and 120.00°. The inequivalent atoms are Nd at (0.0000, 0.0000, 0.0000), Nd at (0.0000, 0.0000, 0.3128), Fe at (0.0000, 0.0000, 0.5633), Fe at (0.1689, 0.3377, 0.4901), Co at (0.0000, 0.0000, 0.7526), Co at (0.0001, 0.2854, 0.6567), Co at (0.9998, 0.4999, 0.5001) and Co at (0.1681, 0.3362, 0.1455).

Its crystal system is trigonal. The value obtained for the formation energy is -0.0571 eV per atom. For the density of states at the Fermi level, the calculation gives 1.008 states/eV per atom.

=====

2.
## Nd2Fe2Co15 (PBE-GGA)

Data for crystalline Nd2Fe2Co15 at its relaxed geometry.

The structure belongs to space group R-3m (No. 166, hexagonal axes); the cell edges are 8.3987, 8.3987 and 12.1739 Å and the angles 90.00°, 90.00° and 120.00°. The inequivalent atoms are Nd at (0.0000, 0.0000, 0.1542), Fe at (0.0000, 0.0000, 0.4024), Co at (0.0000, 0.2856, 0.5000), Co at (0.0000, 0.5000, 0.0000) and Co at (0.0048, 0.5024, 0.3458).

Its crystal system is trigonal. The value obtained for the formation energy is -0.0640 eV per atom. For the density of states at the Fermi level, the calculation gives 1.036 states/eV per atom.

=====

3.
## NdFeCo (PBE-GGA)

Data for crystalline NdFeCo at its relaxed geometry.

The structure belongs to space group P4_12_12 (No. 92); the cell edges are 6.3222, 6.3222 and 5.8641 Å and the angles 90.00°, 90.00° and 90.00°. The inequivalent atoms are Nd at (0.2474, 0.2474, 0.0000), Fe at (0.1257, 0.8743, 0.7500) and Co at (0.1289, 0.1289, 0.5000).

Its crystal system is tetragonal. The value obtained for the formation energy is 0.3128 eV per atom. As for the offset from the most stable computed form: 30.6 kJ/mol of atoms. For the density of states at the Fermi level, the calculation gives 1.075 states/eV per atom.

=====

4.
## Nd3Fe2Co7 (PBE-GGA)

Data for crystalline Nd3Fe2Co7 at its relaxed geometry.

The structure belongs to space group R-3m (No. 166, hexagonal axes); the cell edges are 5.1712, 5.1712 and 23.9915 Å and the angles 90.00°, 90.00° and 120.00°. The inequivalent atoms are Nd at (0.0000, 0.0000, 0.0000), Nd at (0.0000, 0.0000, 0.1411), Fe at (0.0000, 0.0000, 0.3330), Co at (0.0000, 0.0000, 0.5000) and Co at (0.0030, 0.5015, 0.0804).

Its crystal system is trigonal. The value obtained for the formation energy is -0.0538 eV per atom. For the density of states at the Fermi level, the calculation gives 1.165 states/eV per atom.

=====

5.
## NdFeCo (PBE-GGA)

Data for crystalline NdFeCo at its relaxed geometry.

The structure belongs to space group P-6m2 (No. 187); the cell edges are 3.9138, 3.9138 and 4.2673 Å and the angles 90.00°, 90.00° and 120.00°. The inequivalent atoms are Nd at (0.0000, 0.0000, 0.0000), Fe at (0.6667, 0.3333, 0.5000) and Co at (0.3333, 0.6667, 0.5000).

Its crystal system is hexagonal. The value obtained for the formation energy is -0.0045 eV per atom. As for the offset from the most stable computed form: 0.0 kJ/mol of atoms. For the density of states at the Fermi level, the calculation gives 0.548 states/eV per atom.

=====

6.
## NdFe3Co3 (PBE-GGA)

Data for crystalline NdFe3Co3 at its relaxed geometry.

The structure belongs to space group Pm-3n (No. 223); the cell edges are 6.0826, 6.0826 and 6.0826 Å and the angles 90.00°, 90.00° and 90.00°. The inequivalent atoms are Nd at (0.0000, 0.0000, 0.0000), Fe at (0.0000, 0.2500, 0.5000) and Co at (0.0000, 0.5000, 0.2500).

Its crystal system is cubic. The value obtained for the formation energy is 0.5196 eV per atom. For the density of states at the Fermi level, the calculation gives 0.955 states/eV per atom.

=====

7.
## NdFe2Co9 (PBE-GGA)

Data for crystalline NdFe2Co9 at its relaxed geometry.

The structure belongs to space group P4/mbm (No. 127); the cell edges are 8.0832, 8.0832 and 4.7018 Å and the angles 90.00°, 90.00° and 90.00°. The inequivalent atoms are Nd at (0.0000, 0.0000, 0.0000), Fe at (0.1142, 0.3858, 0.0000), Co at (0.0000, 0.5000, 0.5000), Co at (0.0668, 0.2164, 0.5000) and Co at (0.1783, 0.6783, 0.2361).

Its crystal system is tetragonal. The value obtained for the formation energy is -0.0340 eV per atom. For the density of states at the Fermi level, the calculation gives 1.227 states/eV per atom.

=====

8.
## Nd2FeCo3Si4 (PBE-GGA)

Data for crystalline Nd2FeCo3Si4 at its relaxed geometry.

The structure belongs to space group P-4m2 (No. 115); the cell edges are 3.9624, 3.9624 and 9.9102 Å and the angles 90.00°, 90.00° and 90.00°. The inequivalent atoms are Nd at (0.0000, 0.5000, 0.2481), Fe at (0.5000, 0.5000, 0.0000), Co at (0.0000, 0.0000, 0.0000), Co at (0.0000, 0.0000, 0.5000), Co at (0.5000, 0.5000, 0.5000), Si at (0.0000, 0.5000, 0.6168) and Si at (0.0000, 0.5000, 0.8863).

Its crystal system is tetragonal. Its formation energy without anion corrections is -7.33 eV/f.u. For the density of states at the Fermi level, the calculation gives 0.549 states/eV per atom.

=====

9.
## NdFeCoSi2 (PBE-GGA)

Data for crystalline NdFeCoSi2 at its relaxed geometry.

The structure belongs to space group I-4m2 (No. 119); the cell edges are 3.9821, 3.9821 and 9.8379 Å and the angles 90.00°, 90.00° and 90.00°. The inequivalent atoms are Nd at (0.0000, 0.0000, 0.0000), Fe at (0.0000, 0.5000, 0.2500), Co at (0.0000, 0.5000, 0.7500) and Si at (0.0000, 0.0000, 0.3638).

Its crystal system is tetragonal. Its formation energy without anion corrections is -3.53 eV/f.u. For the density of states at the Fermi level, the calculation gives 0.616 states/eV per atom.

=====

10.
## Nd2FeCo17Si8 (PBE-GGA)

Data for crystalline Nd2FeCo17Si8 at its relaxed geometry.

The structure belongs to space group Fmmm (No. 69); the cell edges are 10.9253, 10.9576 and 11.4757 Å and the angles 90.00°, 90.00° and 90.00°. The inequivalent atoms are Nd at (0.2500, 0.2500, 0.2500), Fe at (0.0000, 0.0000, 0.0000), Co at (0.0000, 0.0000, 0.5000), Co at (0.0000, 0.1294, 0.3199), Co at (0.1155, 0.1853, 0.5000), Co at (0.1292, 0.0000, 0.1800), Co at (0.1839, 0.1148, 0.0000), Si at (0.0000, 0.1693, 0.1219) and Si at (0.1693, 0.0000, 0.3788).

Its crystal system is orthorhombic. Its formation energy without anion corrections is -13.25 eV/f.u. For the density of states at the Fermi level, the calculation gives 0.954 states/eV per atom.

=====

11.
## Nd2Fe3CoSi4 (PBE-GGA)

Data for crystalline Nd2Fe3CoSi4 at its relaxed geometry.

The structure belongs to space group P-4m2 (No. 115); the cell edges are 3.9979, 3.9979 and 9.8035 Å and the angles 90.00°, 90.00° and 90.00°. The inequivalent atoms are Nd at (0.0000, 0.5000, 0.2484), Fe at (0.0000, 0.0000, 0.0000), Fe at (0.5000, 0.5000, 0.0000), Fe at (0.5000, 0.5000, 0.5000), Co at (0.0000, 0.0000, 0.5000), Si at (0.0000, 0.5000, 0.6135) and Si at (0.0000, 0.5000, 0.8889).

Its crystal system is tetragonal. Its formation energy without anion corrections is -6.66 eV/f.u. For the density of states at the Fermi level, the calculation gives 0.708 states/eV per atom.

=====

12.
## NdV2Fe5Co5 (PBE-GGA)

Data for crystalline NdV2Fe5Co5 at its relaxed geometry.

The structure belongs to space group Imm2 (No. 44); the cell edges are 4.6685, 8.4603 and 8.4695 Å and the angles 90.00°, 90.00° and 90.00°. The inequivalent atoms are Nd at (0.0000, 0.0000, 0.0000), V at (0.0000, 0.0000, 0.3607), V at (0.0000, 0.0000, 0.6418), Fe at (0.0000, 0.5000, 0.7303), Fe at (0.2503, 0.2487, 0.7516), Co at (0.0000, 0.2698, 0.5023), Co at (0.0000, 0.3602, 0.0003) and Co at (0.0000, 0.5000, 0.2734).

Its crystal system is orthorhombic. The value obtained for the formation energy is -0.0464 eV per atom. For the density of states at the Fermi level, the calculation gives 1.230 states/eV per atom.